A geometry-optimized Li2CuIr structure, computed with PBE.

```
Li2CuIr
1.0
-2.654 -2.770 1.677
0.700 -1.508 3.843
-2.479 1.135 3.178
Li Cu Ir
2 1 1
direct
0.250 0.250 0.250
0.000 0.000 0.000
0.500 0.500 0.500
0.750 0.750 0.750
```

Results
Volume: 52 Å³/f.u.
Energy above the most stable polymorph in this dataset: 0.152 eV/atom

A geometry-optimized Li2CuIr structure, computed with PBE.

```
Li2CuIr
1.0
-3.005 -3.650 0.082
0.907 -3.397 -3.162
2.531 2.341 3.236
Ir Li Cu
1 2 1
direct
0.750 0.250 0.500
0.500 0.500 0.000
0.000 0.000 0.000
0.250 0.750 0.500
```

Results
Volume: 52 Å³/f.u.
Energy above the most stable polymorph in this dataset: 0.087 eV/atom

A geometry-optimized LiCu2Ir2 structure, computed with PBE.

```
LiCu2Ir2
1.0
4.380 0.000 0.000
0.000 4.380 0.000
2.190 2.190 4.439
Ir Cu Li
2 2 1
direct
0.631 0.631 0.737
0.369 0.369 0.263
0.750 0.250 0.500
0.250 0.750 0.500
0.000 0.000 0.000
```

Results
Volume: 85 Å³/f.u.
Energy above the most stable polymorph in this dataset: 0.320 eV/atom

A geometry-optimized Li2CuIr structure, computed with PBE.

```
Li2CuIr
1.0
2.565 0.000 -0.624
-0.044 4.528 -0.181
-0.264 1.108 4.501
Ir Cu Li
1 1 2
direct
0.750 0.750 0.500
0.250 0.250 0.500
0.505 0.506 0.009
0.995 0.994 0.991
```

Results
Volume: 52 Å³/f.u.
Energy above the most stable polymorph in this dataset: 0.000 eV/atom

A geometry-optimized Li3CuIr structure, computed with PBE.

```
Li3CuIr
1.0
4.530 0.000 0.000
2.265 3.923 0.000
2.265 1.308 8.356
Li Ir Cu
6 2 2
direct
0.749 0.094 0.746
0.410 0.749 0.746
0.906 0.590 0.254
0.251 0.906 0.254
0.590 0.251 0.254
0.094 0.410 0.746
0.167 0.167 0.499
0.833 0.833 0.501
0.333 0.333 0.001
0.667 0.667 0.999
```

Results
Volume: 74 Å³/f.u.
Energy above the most stable polymorph in this dataset: 0.000 eV/atom

A geometry-optimized Li2CuIr structure, computed with PBE.

```
Li2CuIr
1.0
2.635 0.030 0.000
-1.183 2.355 0.000
0.000 0.000 9.179
Li Cu Ir
2 1 1
direct
0.000 0.000 0.980
0.500 0.500 0.271
0.000 0.000 0.503
0.500 0.500 0.746
```

Results
Volume: 57 Å³/f.u.
Energy above the most stable polymorph in this dataset: 0.142 eV/atom

A geometry-optimized LiCuIr2 structure, computed with PBE.

```
LiCuIr2
1.0
-3.360 1.104 -3.121
-1.283 -3.682 -2.654
0.483 0.662 4.645
Ir Cu Li
2 1 1
direct
0.500 0.500 0.000
0.000 0.000 0.000
0.750 0.250 0.500
0.250 0.750 0.500
```

Results
Volume: 54 Å³/f.u.

A geometry-optimized Li4CuIr structure, computed with PBE.

```
Li4CuIr
1.0
5.612 0.000 0.000
0.000 5.612 0.000
-2.806 -2.806 2.610
Li Cu Ir
4 1 1
direct
0.627 0.732 0.753
0.979 0.373 0.247
0.268 0.874 0.247
0.126 0.021 0.753
0.750 0.250 0.500
0.500 0.500 0.000
```

Results
Volume: 82 Å³/f.u.
Energy above the most stable polymorph in this dataset: 0.146 eV/atom

E_form / eV/atom: 0.035 -0.030 0.503 -0.117 0.132 0.025 0.147 0.067
Raw total energy / eV/atom: -4.1611 -4.2258 -5.0623 -4.3132 -3.6074 -4.1708 -5.7858 -3.3687
D(E_F) / states/eV per cell: 3.84 1.32 5.27 2.74 8.17 2.63 6.60 1.45